Arrangement P

5
Lattice="5.684 0.000 0.000 0.000 5.684 0.000 0.000 0.000 5.684" Properties=species:S:1:pos:R:3 comment="PBE BaYAg3, relaxed" dos_at_fermi_per_ev_cell=4.1 spacegroup="No. 221" pbc="T T T"
Y 2.842 2.842 2.842
Ba 0.000 0.000 0.000
Ag 0.000 2.842 0.000
Ag 0.000 0.000 2.842
Ag 2.842 0.000 0.000

Arrangement Q

5
Lattice="5.565 0.000 0.000 0.000 5.565 0.000 0.000 0.000 5.565" Properties=species:S:1:pos:R:3 comment="PBE BaYAg3, relaxed" dos_at_fermi_per_ev_cell=3.4 spacegroup="No. 221" pbc="T T T"
Y 0.000 0.000 0.000
Ba 2.783 2.783 2.783
Ag 0.000 2.783 0.000
Ag 0.000 0.000 2.783
Ag 2.783 0.000 0.000

arrangement Q is favored, and the nearest alternative lies 643 meV/atom above it.

Arrangement P

4
Lattice="-1.634 6.393 -2.960 -6.899 2.005 -0.826 5.199 -2.032 4.597" Properties=species:S:1:pos:R:3 comment="PBE Ba2YAg, relaxed" dos_at_fermi_per_ev_cell=4.6 spacegroup="No. 71" pbc="T T T"
Ag -2.983 2.086 0.939
Ba -0.382 0.376 -0.169
Ba -3.885 3.823 -1.723
Y -0.351 4.280 -0.128

Arrangement Q

4
Lattice="-1.547 6.360 -3.617 -3.872 6.387 -0.368 3.033 4.987 2.129" Properties=species:S:1:pos:R:3 comment="PBE Ba2YAg, relaxed" dos_at_fermi_per_ev_cell=5.9 spacegroup="No. 8" pbc="T T T"
Ag -0.440 4.295 -0.351
Ba -5.033 12.390 -3.706
Ba -1.841 13.349 -1.429
Y -1.686 9.316 -1.284

arrangement Q is favored, and the nearest alternative lies 109 meV/atom above it.

Arrangement P

4
Lattice="0.000 4.309 4.309 4.309 0.000 4.309 4.309 4.309 0.000" Properties=species:S:1:pos:R:3 comment="PBE Ba2YAg, relaxed" dos_at_fermi_per_ev_cell=7.2 spacegroup="No. 225" pbc="T T T"
Y 0.000 0.000 0.000
Ba 2.154 2.154 2.154
Ba 6.463 6.463 6.463
Ag 4.309 4.309 4.309

Arrangement Q

4
Lattice="3.950 0.014 0.000 -0.009 3.950 0.000 0.000 0.000 10.327" Properties=species:S:1:pos:R:3 comment="PBE Ba2YAg, relaxed" dos_at_fermi_per_ev_cell=5.3 spacegroup="No. 99" pbc="T T T"
Ag 1.970 1.982 7.313
Ba 0.000 0.000 9.593
Ba 1.970 1.982 2.956
Y 0.000 0.000 5.955

arrangement Q is favored, and the nearest alternative lies 323 meV/atom above it.

Arrangement P

4
Lattice="6.999 0.030 0.000 3.281 6.182 0.000 -5.140 -3.106 3.595" Properties=species:S:1:pos:R:3 comment="PBE Ba2YAg, relaxed" dos_at_fermi_per_ev_cell=6.2 spacegroup="No. 119" pbc="T T T"
Ag 3.499 0.015 1.797
Ba 0.000 0.000 0.000
Ba 1.640 3.091 1.797
Y 5.140 3.106 0.000

Arrangement Q

4
Lattice="5.849 0.000 0.000 2.925 5.065 0.000 2.925 1.688 4.776" Properties=species:S:1:pos:R:3 comment="PBE Ba2YAg, relaxed" dos_at_fermi_per_ev_cell=5.0 spacegroup="No. 216" pbc="T T T"
Ag 5.849 3.377 2.388
Ba 0.000 0.000 0.000
Ba 2.925 1.688 1.194
Y 8.774 5.065 3.582

Arrangement R

4
Lattice="6.171 0.169 0.000 -0.316 6.165 0.000 0.000 0.000 4.136" Properties=species:S:1:pos:R:3 comment="PBE Ba2YAg, relaxed" dos_at_fermi_per_ev_cell=4.5 spacegroup="No. 65" pbc="T T T"
Ag -0.158 3.083 2.068
Ba 0.000 0.000 0.000
Ba 2.928 3.167 0.000
Y 3.086 0.085 2.068

Arrangement S

4
Lattice="-2.010 -2.879 2.711 3.543 -4.223 -1.857 3.752 1.312 4.176" Properties=species:S:1:pos:R:3 comment="PBE Ba2YAg, relaxed" dos_at_fermi_per_ev_cell=3.5 spacegroup="No. 47" pbc="T T T"
Ag 3.648 -1.455 1.159
Ba 0.000 0.000 0.000
Ba 0.767 -3.551 0.427
Y 0.871 -0.783 3.443

arrangement R is favored, and the nearest alternative lies 67 meV/atom above it.